# 1
Here is Al3Ag at its PBEsol-relaxed geometry from Alexandria via LeMat-Bulk. Energies are from meta-GGA SCAN.

Results
The size of the total moment is 0.00 μB per cell. The calculation puts the formation energy at -10 kJ/mol of formula units.

a = 9.170 Å, b = 2.946 Å, c = 4.900 Å
α = 90.00°, β = 99.97°, γ = 90.00°
Space group C2/m (No. 12)
Asymmetric unit:
Al1 0.000 0.000 0.000
Al2 0.248 0.000 0.751
Ag1 0.000 0.500 0.500

***

# 2
Here is Al7Ag3 at its PBEsol-relaxed geometry from Alexandria via LeMat-Bulk. Energies are from meta-GGA SCAN.

Results
The size of the total moment is 0.00 μB per cell. The calculation puts the formation energy at -27 kJ/mol of formula units. The value obtained for the energy above the most stable polymorph in this dataset is 0.017 eV/atom.

a = 4.020 Å, b = 3.997 Å, c = 10.276 Å
α = 90.00°, β = 101.14°, γ = 90.00°
Space group Pm (No. 6)
Asymmetric unit:
Al1 0.000 0.000 0.000
Al2 0.100 0.500 0.199
Al3 0.298 0.500 0.596
Al4 0.401 0.000 0.800
Al5 0.699 0.500 0.398
Al6 0.800 0.000 0.600
Al7 0.900 0.500 0.799
Ag1 0.200 0.000 0.400
Ag2 0.498 0.500 0.997
Ag3 0.600 0.000 0.199

***

# 3
Here is AlAg at its PBEsol-relaxed geometry from Alexandria via LeMat-Bulk. Energies are from meta-GGA SCAN.

Results
The size of the total moment is 0.00 μB per cell. The calculation puts the formation energy at -9 kJ/mol of formula units.

a = 2.962 Å, b = 3.952 Å, c = 11.114 Å
α = 90.00°, β = 90.00°, γ = 90.00°
Space group Pmmn (No. 59, origin choice 2)
Asymmetric unit:
Al1 0.250 0.250 0.058
Al2 0.250 0.250 0.808
Ag1 0.250 0.250 0.302
Ag2 0.250 0.250 0.564

***

# 4
Here is Al3Ag5 at its PBEsol-relaxed geometry from Alexandria via LeMat-Bulk. Energies are from meta-GGA SCAN.

Results
The size of the total moment is 0.00 μB per cell. The calculation puts the formation energy at -25 kJ/mol of formula units. The value obtained for the energy above the most stable polymorph in this dataset is 0.081 eV/atom.

a = 7.6619 Å, b = 7.6619 Å, c = 5.2067 Å
α = 90.00°, β = 90.00°, γ = 120.00°
Space group P6_3/mcm (No. 193)
Asymmetric unit:
Al1 0.0000 0.3998 0.2500
Ag1 0.0000 0.2317 0.7500
Ag2 0.3333 0.6667 0.0000

***

# 5
Here is Al3Ag5 at its PBEsol-relaxed geometry from Alexandria via LeMat-Bulk. Energies are from meta-GGA SCAN.

Results
The size of the total moment is 0.00 μB per cell. The calculation puts the formation energy at -63 kJ/mol of formula units. The value obtained for the energy above the most stable polymorph in this dataset is 0.032 eV/atom.

a = 4.798 Å, b = 5.727 Å, c = 5.009 Å
α = 90.00°, β = 110.56°, γ = 90.00°
Space group P2/m (No. 10)
Asymmetric unit:
Al1 0.000 0.000 0.000
Al2 0.000 0.252 0.500
Ag1 0.000 0.500 0.000
Ag2 0.500 0.000 0.500
Ag3 0.500 0.245 0.000
Ag4 0.500 0.500 0.500

***

# 6
Here is AlAg2 at its PBEsol-relaxed geometry from Alexandria via LeMat-Bulk. Energies are from meta-GGA SCAN.

Results
The size of the total moment is 0.00 μB per cell. The calculation puts the formation energy at -23 kJ/mol of formula units.

a = 8.010 Å, b = 8.010 Å, c = 6.366 Å
α = 90.00°, β = 108.60°, γ = 90.00°
Space group C2 (No. 5)
Asymmetric unit:
Al1 0.082 0.000 0.330
Al2 0.167 0.751 0.674
Ag1 0.000 0.250 0.000
Ag2 0.000 0.754 0.000
Ag3 0.088 0.503 0.342
Ag4 0.167 0.247 0.656
Ag5 0.249 0.001 0.003

***

# 7
Here is AlAg at its PBEsol-relaxed geometry from Alexandria via LeMat-Bulk. Energies are from meta-GGA SCAN.

Results
The size of the total moment is 0.00 μB per cell. The calculation puts the formation energy at -17 kJ/mol of formula units.

a = 4.836 Å, b = 4.948 Å, c = 5.414 Å
α = 90.00°, β = 90.00°, γ = 90.00°
Space group Pnma (No. 62)
Asymmetric unit:
Al1 0.100 0.250 0.119
Ag1 0.096 0.250 0.615

***

# 8
Here is Al2Ag3 at its PBEsol-relaxed geometry from Alexandria via LeMat-Bulk. Energies are from meta-GGA SCAN.

Results
The size of the total moment is 0.03 μB per cell. The calculation puts the formation energy at -44 kJ/mol of formula units. The value obtained for the energy above the most stable polymorph in this dataset is 0.007 eV/atom.

a = 2.918 Å, b = 3.906 Å, c = 14.077 Å
α = 90.00°, β = 90.00°, γ = 90.00°
Space group Immm (No. 71)
Asymmetric unit:
Al1 0.000 0.000 0.103
Ag1 0.000 0.000 0.303
Ag2 0.000 0.000 0.500

***

# 9
Here is Al3Ag at its PBEsol-relaxed geometry from Alexandria via LeMat-Bulk. Energies are from meta-GGA SCAN.

Results
The size of the total moment is 0.11 μB per cell. The calculation puts the formation energy at -11 kJ/mol of formula units.

a = 4.930 Å, b = 2.821 Å, c = 9.542 Å
α = 90.00°, β = 101.62°, γ = 90.00°
Space group P2/m (No. 10)
Asymmetric unit:
Al1 0.117 0.000 0.376
Al2 0.136 0.500 0.878
Al3 0.377 0.500 0.623
Ag1 0.368 0.000 0.132

***

# 10
Here is Al3Ag2 at its PBEsol-relaxed geometry from Alexandria via LeMat-Bulk. Energies are from meta-GGA SCAN.

Results
The size of the total moment is 0.03 μB per cell. The calculation puts the formation energy at -24 kJ/mol of formula units. The value obtained for the energy above the most stable polymorph in this dataset is 0.036 eV/atom.

a = 4.911 Å, b = 4.932 Å, c = 7.468 Å
α = 71.15°, β = 71.49°, γ = 81.28°
Space group P-1 (No. 2)
Asymmetric unit:
Al1 0.040 0.249 0.157
Al2 0.355 0.746 0.049
Al3 0.437 0.252 0.358
Ag1 0.155 0.756 0.445
Ag2 0.249 0.250 0.761

***

# 11
Here is Al2Ag3 at its PBEsol-relaxed geometry from Alexandria via LeMat-Bulk. Energies are from meta-GGA SCAN.

Results
The size of the total moment is 0.02 μB per cell. The calculation puts the formation energy at -41 kJ/mol of formula units. The value obtained for the energy above the most stable polymorph in this dataset is 0.012 eV/atom.

a = 14.222 Å, b = 3.880 Å, c = 5.966 Å
α = 90.00°, β = 101.08°, γ = 90.00°
Space group Cm (No. 8)
Asymmetric unit:
Al1 0.000 0.000 0.000
Al2 0.000 0.000 0.496
Al3 0.105 0.500 0.799
Al4 0.207 0.000 0.114
Ag1 0.102 0.500 0.282
Ag2 0.196 0.000 0.607
Ag3 0.300 0.500 0.905
Ag4 0.303 0.500 0.407
Ag5 0.404 0.000 0.203
Ag6 0.412 0.000 0.708

***

# 12
Here is Al3Ag2 at its PBEsol-relaxed geometry from Alexandria via LeMat-Bulk. Energies are from meta-GGA SCAN.

Results
The size of the total moment is 0.00 μB per cell. The calculation puts the formation energy at -16 kJ/mol of formula units. The value obtained for the energy above the most stable polymorph in this dataset is 0.051 eV/atom.

a = 2.861 Å, b = 2.861 Å, c = 19.873 Å
α = 90.00°, β = 90.00°, γ = 90.00°
Space group I4/mmm (No. 139)
Asymmetric unit:
Al1 0.000 0.000 0.000
Al2 0.000 0.000 0.199
Ag1 0.000 0.000 0.402